## i
A plane-wave DFT calculation with PBE-GGA was carried out for crystalline MgGa2F6 at its relaxed geometry.

```
18
Lattice="4.658 0.342 1.502 1.415 7.848 2.036 -0.074 2.038 7.973" Properties=species:S:1:pos:R:3 pbc="T T T"
F 5.172 7.648 5.716
F 3.917 5.719 3.513
F 1.529 0.508 1.769
F 0.713 2.832 2.259
F 3.129 7.893 7.817
F 4.079 1.539 1.640
F 4.470 9.720 9.743
F 1.920 8.689 9.871
F 2.082 4.509 7.998
F 5.287 7.395 9.252
F 2.870 2.334 3.694
F 0.827 2.580 5.796
Ga 3.412 7.238 9.697
Ga 4.480 1.456 4.308
Ga 2.588 2.990 1.815
Ga 1.519 8.771 7.203
Mg 1.266 2.810 7.648
Mg 4.733 7.418 3.864
```

- SG = C2/c
- theoretical density (g cm⁻³) = 3.37

## ii
A plane-wave DFT calculation with PBE-GGA was carried out for crystalline MgGa2F6 at its relaxed geometry.

```
9
Lattice="3.397 0.000 0.000 -1.698 5.800 0.446 0.000 -1.306 5.907" Properties=species:S:1:pos:R:3 pbc="T T T"
F 0.000 4.386 2.362
F 0.000 0.739 1.512
F 1.698 3.755 4.841
F 0.000 1.938 4.056
F 1.698 2.557 2.297
F 1.698 0.108 3.991
Ga 1.698 1.867 5.010
Ga 0.000 2.627 1.343
Mg 0.000 -0.653 2.954
```

- SG = C2/m
- theoretical density (g cm⁻³) = 3.90

If you had to bet on the most stable structure above, which would it be? Bet on i.